First-principles (PBE) data for a relaxed structure of Nd3Zn8Au3, as listed in Alexandria.

Cell lengths 4.436, 9.208, 13.359 Å; angles 90.00, 90.00, 90.00 degrees
Space group Immm (No. 71)
Inequivalent atoms, fractional coordinates:
Nd (0.000, 0.000, 0.000) (multiplicity 2)
Nd (0.000, 0.000, 0.311) (multiplicity 4)
Zn (0.000, 0.277, 0.134) (multiplicity 8)
Zn (0.000, 0.362, 0.325) (multiplicity 8)
Au (0.000, 0.229, 0.500) (multiplicity 4)
Au (0.000, 0.500, 0.000) (multiplicity 2)

Values from the calculation:
Spin magnetization: 0.00 μB/f.u.
Formation energy: -440 meV per atom
Crystal system: orthorhombic